Here is a relaxed structure of MgBe from the Alexandria database. Energies are from PBE.

Properties
**M_tot**: 0.00 μB per cell
**ΔH_f (0 K)**: 321 meV/atom
**Distance to the lowest polymorph of the same formula**: 10.5 kJ per mole of atoms
**Symmetry**: No. 2

Cell: 2.792 4.614 5.114 Å, 68.89 74.35 89.84°
Positions (direct):
Mg: 0.105 0.325 0.295
Mg: 0.895 0.675 0.705
Be: 0.339 0.126 0.822
Be: 0.661 0.874 0.178

***

Here is a relaxed structure of Ba2NiPb2 from the Alexandria database. Energies are from PBE.

Properties
**M_tot**: 0.00 μB per cell
**ΔH_f (0 K)**: -132 meV/atom
**Symmetry**: No. 127

Cell: 7.656 7.656 5.632 Å, 90.00 90.00 90.00°
Positions (direct):
Ba: 0.163 0.337 0.000
Ba: 0.337 0.837 0.000
Ba: 0.663 0.163 0.000
Ba: 0.837 0.663 0.000
Ni: 0.000 0.000 0.500
Ni: 0.500 0.500 0.500
Pb: 0.151 0.651 0.500
Pb: 0.349 0.151 0.500
Pb: 0.651 0.849 0.500
Pb: 0.849 0.349 0.500

***

Here is a relaxed structure of YTaCu2 from the Alexandria database. Energies are from PBE.

Properties
**M_tot**: 0.00 μB per cell
**ΔH_f (0 K)**: 524 meV/atom
**Distance to the lowest polymorph of the same formula**: 44.0 kJ per mole of atoms
**Symmetry**: No. 122

Cell: 7.355 7.355 5.690 Å, 90.00 90.00 90.00°
Positions (direct):
Y: 0.000 0.000 0.000
Y: 0.000 0.500 0.250
Y: 0.500 0.000 0.750
Y: 0.500 0.500 0.500
Ta: 0.000 0.000 0.500
Ta: 0.000 0.500 0.750
Ta: 0.500 0.000 0.250
Ta: 0.500 0.500 0.000
Cu: 0.216 0.750 0.625
Cu: 0.250 0.216 0.375
Cu: 0.250 0.284 0.875
Cu: 0.284 0.750 0.125
Cu: 0.716 0.250 0.125
Cu: 0.750 0.716 0.875
Cu: 0.750 0.784 0.375
Cu: 0.784 0.250 0.625

***

Here is a relaxed structure of TiSb3Ir from the Alexandria database. Energies are from PBE.

Properties
**M_tot**: 0.00 μB per cell
**Distance to the lowest polymorph of the same formula**: 0.0 kJ per mole of atoms
**Symmetry**: No. 221

Cell: 5.163 5.163 5.163 Å, 90.00 90.00 90.00°
Positions (direct):
Ti: 0.000 0.000 0.000
Sb: 0.000 0.500 0.500
Sb: 0.500 0.000 0.500
Sb: 0.500 0.500 0.000
Ir: 0.500 0.500 0.500

***

Here is a relaxed structure of Mn2VBr from the Alexandria database. Energies are from PBE.

Properties
**M_tot**: 20.19 μB per cell
**Distance to the lowest polymorph of the same formula**: 0.0 kJ per mole of atoms
**Symmetry**: No. 122

Cell: 7.211 7.211 5.415 Å, 90.00 90.00 90.00°
Positions (direct):
Mn: 0.249 0.250 0.125
Mn: 0.250 0.749 0.375
Mn: 0.250 0.751 0.875
Mn: 0.251 0.250 0.625
Mn: 0.749 0.750 0.625
Mn: 0.750 0.249 0.875
Mn: 0.750 0.251 0.375
Mn: 0.751 0.750 0.125
V: 0.000 0.000 0.000
V: 0.000 0.500 0.250
V: 0.500 0.000 0.750
V: 0.500 0.500 0.500
Br: 0.000 0.000 0.500
Br: 0.000 0.500 0.750
Br: 0.500 0.000 0.250
Br: 0.500 0.500 0.000

***

Here is a relaxed structure of Re2GeO8 from the Alexandria database. Energies are from PBE.

Properties
**M_tot**: 0.00 μB per cell
**Symmetry**: No. 12
**Energy**: -7.71 eV/atom

Cell: 6.617 6.617 5.629 Å, 100.26 100.26 63.62°
Positions (direct):
Re: 0.186 0.186 0.171
Re: 0.814 0.814 0.829
Ge: 0.000 0.000 0.500
O: 0.073 0.686 0.698
O: 0.140 0.140 0.849
O: 0.314 0.927 0.302
O: 0.342 0.342 0.256
O: 0.658 0.658 0.744
O: 0.686 0.073 0.698
O: 0.860 0.860 0.151
O: 0.927 0.314 0.302

***

Here is a relaxed structure of PaFeSiH from the Alexandria database. Energies are from PBE.

Properties
**M_tot**: 0.66 μB per cell
**Symmetry**: No. 187
**Energy**: -7.24 eV/atom

Cell: 4.177 4.177 3.530 Å, 90.00 90.00 120.00°
Positions (direct):
Pa: 0.000 0.000 0.000
Fe: 0.667 0.333 0.500
Si: 0.333 0.667 0.500
H: 0.667 0.333 0.000

***

Here is a relaxed structure of Pm2Pr5SmTh from the Alexandria database. Energies are from PBE.

Properties
**M_tot**: 0.00 μB per cell
**ΔH_f (0 K)**: 149 meV/atom
**Symmetry**: No. 36

Cell: 10.801 10.801 10.686 Å, 90.00 90.00 148.92°
Positions (direct):
Pm: 0.115 0.885 0.500
Pm: 0.116 0.884 0.919
Pm: 0.884 0.116 0.419
Pm: 0.885 0.115 0.000
Pr: 0.015 0.985 0.215
Pr: 0.275 0.725 0.918
Pr: 0.293 0.707 0.529
Pr: 0.385 0.615 0.208
Pr: 0.482 0.518 0.489
Pr: 0.518 0.482 0.989
Pr: 0.615 0.385 0.708
Pr: 0.707 0.293 0.029
Pr: 0.725 0.275 0.418
Pr: 0.985 0.015 0.715
Sm: 0.406 0.594 0.778
Sm: 0.594 0.406 0.278
Th: 0.199 0.801 0.221
Th: 0.801 0.199 0.721

***

Here is a relaxed structure of Pm2Er5Sc5 from the Alexandria database. Energies are from PBE.

Properties
**M_tot**: 0.00 μB per cell
**ΔH_f (0 K)**: 98 meV/atom
**Distance to the lowest polymorph of the same formula**: 1.5 kJ per mole of atoms
**Symmetry**: No. 12

Cell: 6.441 6.441 11.643 Å, 108.36 108.36 49.60°
Positions (direct):
Pm: 0.090 0.090 0.232
Pm: 0.910 0.910 0.768
Er: 0.344 0.344 0.503
Er: 0.400 0.400 0.240
Er: 0.500 0.500 0.000
Er: 0.600 0.600 0.760
Er: 0.656 0.656 0.497
Sc: 0.000 0.000 0.500
Sc: 0.179 0.179 0.974
Sc: 0.239 0.239 0.727
Sc: 0.761 0.761 0.273
Sc: 0.821 0.821 0.026

***

Here is a relaxed structure of MnOs2WN from the Alexandria database. Energies are from PBE.

Properties
**M_tot**: 2.65 μB per cell
**Distance to the lowest polymorph of the same formula**: 0.0 kJ per mole of atoms
**Symmetry**: No. 123

Cell: 4.029 4.029 4.090 Å, 90.00 90.00 90.00°
Positions (direct):
Mn: 0.000 0.000 0.000
Os: 0.000 0.500 0.500
Os: 0.500 0.000 0.500
W: 0.500 0.500 0.000
N: 0.500 0.500 0.500

***

Here is a relaxed structure of Pm2CdAu2 from the Alexandria database. Energies are from PBE.

Properties
**M_tot**: 0.00 μB per cell
**ΔH_f (0 K)**: -725 meV/atom
**Symmetry**: No. 127

Cell: 8.074 8.074 3.879 Å, 90.00 90.00 90.00°
Positions (direct):
Pm: 0.171 0.329 0.000
Pm: 0.329 0.829 0.000
Pm: 0.671 0.171 0.000
Pm: 0.829 0.671 0.000
Cd: 0.000 0.000 0.500
Cd: 0.500 0.500 0.500
Au: 0.129 0.629 0.500
Au: 0.371 0.129 0.500
Au: 0.629 0.871 0.500
Au: 0.871 0.371 0.500

***

Here is a relaxed structure of Ba2TlAs from the Alexandria database. Energies are from PBE.

Properties
**M_tot**: 1.44 μB per cell
**ΔH_f (0 K)**: -637 meV/atom
**Distance to the lowest polymorph of the same formula**: 6.3 kJ per mole of atoms
**Symmetry**: No. 12

Cell: 8.152 4.700 9.543 Å, 90.00 106.40 90.00°
Positions (direct):
Ba: 0.231 0.000 0.195
Ba: 0.269 0.500 0.805
Ba: 0.731 0.500 0.195
Ba: 0.769 0.000 0.805
Tl: 0.000 0.000 0.500
Tl: 0.500 0.500 0.500
As: 0.000 0.500 0.000
As: 0.500 0.000 0.000

***

Here is a relaxed structure of Ac2Zn6GaPd from the Alexandria database. Energies are from PBE.

Properties
**M_tot**: 0.00 μB per cell
**ΔH_f (0 K)**: -291 meV/atom
**Symmetry**: No. 2

Cell: 6.618 6.641 6.899 Å, 61.83 61.49 60.15°
Positions (direct):
Ac: 0.208 0.211 0.369
Ac: 0.792 0.789 0.631
Zn: 0.249 0.647 0.854
Zn: 0.251 0.248 0.852
Zn: 0.352 0.749 0.146
Zn: 0.648 0.251 0.854
Zn: 0.749 0.752 0.148
Zn: 0.751 0.353 0.146
Ga: 0.500 0.500 0.500
Pd: 0.000 0.000 0.000

***

Here is a relaxed structure of Dy3ErSb3 from the Alexandria database. Energies are from PBE.

Properties
**M_tot**: 0.00 μB per cell
**Distance to the lowest polymorph of the same formula**: 8.6 kJ per mole of atoms
**Symmetry**: No. 148

Cell: 8.010 8.010 8.010 Å, 67.70 67.70 67.70°
Positions (direct):
Dy: 0.087 0.823 0.343
Dy: 0.177 0.657 0.913
Dy: 0.343 0.087 0.823
Dy: 0.657 0.913 0.177
Dy: 0.823 0.343 0.087
Dy: 0.913 0.177 0.657
Er: 0.334 0.334 0.334
Er: 0.666 0.666 0.666
Sb: 0.078 0.472 0.695
Sb: 0.305 0.922 0.528
Sb: 0.472 0.695 0.078
Sb: 0.528 0.305 0.922
Sb: 0.695 0.078 0.472
Sb: 0.922 0.528 0.305

***

Here is a relaxed structure of CaTh2Ag6 from the Alexandria database. Energies are from PBE.

Properties
**M_tot**: 0.00 μB per cell
**ΔH_f (0 K)**: -161 meV/atom
**Symmetry**: No. 191

Cell: 8.438 8.438 3.416 Å, 90.00 90.00 120.00°
Positions (direct):
Ca: 0.000 0.000 0.000
Th: 0.333 0.667 0.000
Th: 0.667 0.333 0.000
Ag: 0.000 0.332 0.500
Ag: 0.000 0.668 0.500
Ag: 0.332 0.000 0.500
Ag: 0.332 0.332 0.500
Ag: 0.668 0.000 0.500
Ag: 0.668 0.668 0.500

***

Here is a relaxed structure of NaCu2P2 from the Alexandria database. Energies are from PBE.

Properties
**M_tot**: 0.00 μB per cell
**ΔH_f (0 K)**: 26 meV/atom
**Symmetry**: No. 127

Cell: 7.495 7.495 2.622 Å, 90.00 90.00 90.00°
Positions (direct):
Na: 0.000 0.000 0.000
Na: 0.500 0.500 0.000
Cu: 0.128 0.372 0.000
Cu: 0.372 0.872 0.000
Cu: 0.628 0.128 0.000
Cu: 0.872 0.628 0.000
P: 0.165 0.665 0.500
P: 0.335 0.165 0.500
P: 0.665 0.835 0.500
P: 0.835 0.335 0.500

***

Here is a relaxed structure of Li4BeTl from the Alexandria database. Energies are from PBE.

Properties
**M_tot**: 0.58 μB per cell
**ΔH_f (0 K)**: 211 meV/atom
**Symmetry**: No. 216

Cell: 5.126 5.126 5.126 Å, 60.00 60.00 60.00°
Positions (direct):
Li: 0.125 0.125 0.125
Li: 0.125 0.125 0.624
Li: 0.125 0.624 0.125
Li: 0.624 0.125 0.125
Be: 0.500 0.500 0.500
Tl: 0.750 0.750 0.750

***

Here is a relaxed structure of Sr2ScZnAu6 from the Alexandria database. Energies are from PBE.

Properties
**M_tot**: 0.00 μB per cell
**ΔH_f (0 K)**: -369 meV/atom
**Symmetry**: No. 225

Cell: 7.258 7.258 7.258 Å, 60.00 60.00 60.00°
Positions (direct):
Sr: 0.250 0.250 0.250
Sr: 0.750 0.750 0.750
Sc: 0.000 0.000 0.000
Zn: 0.500 0.500 0.500
Au: 0.257 0.257 0.743
Au: 0.257 0.743 0.257
Au: 0.257 0.743 0.743
Au: 0.743 0.257 0.257
Au: 0.743 0.257 0.743
Au: 0.743 0.743 0.257

***

Here is a relaxed structure of Tb3Nd2Pt4 from the Alexandria database. Energies are from PBE.

Properties
**M_tot**: 0.00 μB per cell
**ΔH_f (0 K)**: -1129 meV/atom
**Distance to the lowest polymorph of the same formula**: 0.0 kJ per mole of atoms
**Symmetry**: No. 14

Cell: 7.647 7.685 7.904 Å, 90.00 109.07 90.00°
Positions (direct):
Tb: 0.000 0.000 0.000
Tb: 0.000 0.500 0.500
Tb: 0.256 0.164 0.751
Tb: 0.256 0.336 0.251
Tb: 0.744 0.664 0.749
Tb: 0.744 0.836 0.249
Nd: 0.302 0.677 0.914
Nd: 0.302 0.823 0.414
Nd: 0.698 0.177 0.586
Nd: 0.698 0.323 0.086
Pt: 0.003 0.634 0.127
Pt: 0.003 0.866 0.627
Pt: 0.408 0.037 0.135
Pt: 0.408 0.463 0.635
Pt: 0.592 0.537 0.365
Pt: 0.592 0.963 0.865
Pt: 0.997 0.134 0.373
Pt: 0.997 0.366 0.873

***

Here is a relaxed structure of Zn2PbBr from the Alexandria database. Energies are from PBE.

Properties
**M_tot**: 0.00 μB per cell
**Distance to the lowest polymorph of the same formula**: 7.0 kJ per mole of atoms
**Symmetry**: No. 6

Cell: 3.555 5.275 5.458 Å, 90.00 90.11 90.00°
Positions (direct):
Zn: 0.000 0.000 0.000
Zn: 0.174 0.500 0.681
Pb: 0.212 0.000 0.496
Br: 0.657 0.500 0.055

***

Here is a relaxed structure of TbP3Rh6 from the Alexandria database. Energies are from PBE.

Properties
**M_tot**: 0.00 μB per cell
**ΔH_f (0 K)**: -778 meV/atom
**Symmetry**: No. 1

Cell: 5.621 5.724 5.750 Å, 103.60 119.00 91.76°
Positions (direct):
Tb: 0.000 0.000 0.000
P: 0.313 0.856 0.609
P: 0.628 0.860 0.276
P: 0.905 0.482 0.818
Rh: 0.024 0.150 0.559
Rh: 0.310 0.560 0.246
Rh: 0.518 0.597 0.862
Rh: 0.519 0.158 0.534
Rh: 0.533 0.148 0.038
Rh: 0.918 0.595 0.452

***

Here is a relaxed structure of BaRu2AuS from the Alexandria database. Energies are from PBE.

Properties
**M_tot**: 4.29 μB per cell
**Symmetry**: No. 123
**Energy**: -3.42 eV/atom

Cell: 5.203 5.203 5.602 Å, 90.00 90.00 90.00°
Positions (direct):
Ba: 0.000 0.000 0.000
Ru: 0.000 0.500 0.000
Ru: 0.500 0.000 0.000
Au: 0.500 0.500 0.500
S: 0.000 0.000 0.500

***

Here is a relaxed structure of NpTcRuO6 from the Alexandria database. Energies are from PBE.

Properties
**M_tot**: 5.02 μB per cell
**Symmetry**: No. 163
**Energy**: -8.66 eV/atom

Cell: 5.204 5.204 9.043 Å, 90.00 90.00 120.00°
Positions (direct):
Np: 0.333 0.667 0.250
Np: 0.667 0.333 0.750
Tc: 0.333 0.667 0.750
Tc: 0.667 0.333 0.250
Ru: 0.000 0.000 0.000
Ru: 0.000 0.000 0.500
O: 0.017 0.335 0.624
O: 0.017 0.681 0.876
O: 0.319 0.335 0.876
O: 0.319 0.983 0.624
O: 0.335 0.017 0.124
O: 0.335 0.319 0.376
O: 0.665 0.681 0.624
O: 0.665 0.983 0.876
O: 0.681 0.017 0.376
O: 0.681 0.665 0.124
O: 0.983 0.319 0.124
O: 0.983 0.665 0.376